Computed, not measured: a geometry-optimized YTeAu2 structure at the PBE level of DFT.

Unit cell a=3.8458 b=3.8914 c=6.8458 alpha=90.00 beta=105.69 gamma=90.00
Element x y z (fractional)
1 Y 0.0000 0.0000 0.0000
2 Te 0.3958 0.5000 0.7855
3 Au 0.2085 0.0000 0.4293
4 Au 0.6350 0.5000 0.2753

Summary:
E_tot: -4.662 eV/atom
uncorrected formation energy: -0.6216 eV per atom
magnetization: 0.00 μB/atom

Computed, not measured: a geometry-optimized YTe2Au2 structure at the PBE level of DFT.

Unit cell a=7.7676 b=7.7676 c=4.0875 alpha=90.00 beta=90.00 gamma=90.00
Element x y z (fractional)
1 Y 0.0000 0.0000 0.0000
2 Y 0.5000 0.5000 0.0000
3 Te 0.1940 0.3060 0.5000
4 Te 0.3060 0.8060 0.5000
5 Te 0.6940 0.1940 0.5000
6 Te 0.8060 0.6940 0.5000
7 Au 0.1225 0.6225 0.0000
8 Au 0.3775 0.1225 0.0000
9 Au 0.6225 0.8775 0.0000
10 Au 0.8775 0.3775 0.0000

Summary:
energy above the lowest structure with this stoichiometry: 6.3 meV per atom
E_tot: -4.341 eV/atom
uncorrected formation energy: -0.4809 eV per atom
magnetization: 0.00 μB/atom

Computed, not measured: a geometry-optimized YTe2Au structure at the PBE level of DFT.

Unit cell a=9.4658 b=9.4658 c=9.4658 alpha=24.66 beta=24.66 gamma=24.66
Element x y z (fractional)
1 Y 0.0000 0.0000 0.0000
2 Te 0.1081 0.1081 0.1081
3 Te 0.8919 0.8919 0.8919
4 Au 0.5000 0.5000 0.5000

Summary:
E_tot: -4.049 eV/atom
uncorrected formation energy: -0.0433 eV per atom
magnetization: 0.00 μB/atom

Computed, not measured: a geometry-optimized YTeAu2 structure at the PBE level of DFT.

Unit cell a=5.4539 b=5.4539 c=4.7501 alpha=102.29 beta=102.29 gamma=43.51
Element x y z (fractional)
1 Y 0.0000 0.0000 0.0000
2 Te 0.5000 0.5000 0.5000
3 Au 0.2648 0.2648 0.7742
4 Au 0.7352 0.7352 0.2258

Summary:
E_tot: -4.646 eV/atom
uncorrected formation energy: -0.6060 eV per atom
magnetization: 0.00 μB/atom

Computed, not measured: a geometry-optimized YTeAu structure at the PBE level of DFT.

Unit cell a=4.2042 b=4.2042 c=9.2093 alpha=99.82 beta=99.82 gamma=85.49
Element x y z (fractional)
1 Y 0.1634 0.1634 0.2534
2 Y 0.8366 0.8366 0.7466
3 Te 0.3017 0.3017 0.6345
4 Te 0.6983 0.6983 0.3655
5 Au 0.2646 0.2646 0.9655
6 Au 0.7354 0.7354 0.0345

Summary:
E_tot: -5.302 eV/atom
uncorrected formation energy: -1.0072 eV per atom
magnetization: 0.00 μB/atom

Computed, not measured: a geometry-optimized YTe2Au structure at the PBE level of DFT.

Unit cell a=4.3161 b=7.8746 c=8.3878 alpha=114.89 beta=104.85 gamma=90.06
Element x y z (fractional)
1 Y 0.0000 0.0000 0.0000
2 Y 0.2601 0.3151 0.5214
3 Te 0.1544 0.5541 0.3067
4 Te 0.4054 0.1281 0.8099
5 Te 0.6483 0.0028 0.2988
6 Te 0.9036 0.5717 0.8086
7 Au 0.3469 0.7456 0.6936
8 Au 0.6100 0.3137 0.2182

Summary:
E_tot: -4.926 eV/atom
uncorrected formation energy: -0.9196 eV per atom
magnetization: 0.00 μB/atom